# Li5Nd2Cu12

An optimized crystal structure of Li5Nd2Cu12 (PBE, Alexandria via LeMat-Bulk).

Cell lengths 6.5848, 6.5848, 6.5848 Å; angles 82.71, 82.71, 82.71 degrees
Fractional coordinates of all 19 atoms:
Li (0.0000, 0.0000, 0.5000)
Li (0.0000, 0.5000, 0.0000)
Li (0.0911, 0.0911, 0.0911)
Li (0.5000, 0.0000, 0.0000)
Li (0.9089, 0.9089, 0.9089)
Nd (0.3525, 0.3525, 0.3525)
Nd (0.6475, 0.6475, 0.6475)
Cu (0.0000, 0.3009, 0.6991)
Cu (0.0000, 0.6991, 0.3009)
Cu (0.1598, 0.6578, 0.6578)
Cu (0.3009, 0.0000, 0.6991)
Cu (0.3009, 0.6991, 0.0000)
Cu (0.3422, 0.3422, 0.8402)
Cu (0.3422, 0.8402, 0.3422)
Cu (0.6578, 0.1598, 0.6578)
Cu (0.6578, 0.6578, 0.1598)
Cu (0.6991, 0.0000, 0.3009)
Cu (0.6991, 0.3009, 0.0000)
Cu (0.8402, 0.3422, 0.3422)

Size of the total moment, μB per formula unit: 0.000
Raw total energy, eV/atom: -3.69
Crystal system: trigonal
DFT formation energy, meV per atom: -98

=====

# LiNdCu

An optimized crystal structure of LiNdCu (PBE, Alexandria via LeMat-Bulk).

Cell lengths 4.4936, 4.4936, 3.6674 Å; angles 90.00, 90.00, 120.00 degrees
Fractional coordinates of all 3 atoms:
Li (0.0000, 0.0000, 0.0000)
Nd (0.6667, 0.3333, 0.5000)
Cu (0.3333, 0.6667, 0.0000)

Size of the total moment, μB per formula unit: 0.000
Raw total energy, eV/atom: -3.60
Crystal system: hexagonal
DFT formation energy, meV per atom: -3

=====

# LiNdCu3

An optimized crystal structure of LiNdCu3 (PBE, Alexandria via LeMat-Bulk).

Cell lengths 12.2730, 12.2730, 4.1570 Å; angles 90.00, 90.00, 162.69 degrees
Fractional coordinates of all 10 atoms:
Li (0.2098, 0.7902, 0.7500)
Li (0.7902, 0.2098, 0.2500)
Nd (0.0788, 0.9212, 0.2500)
Nd (0.9212, 0.0788, 0.7500)
Cu (0.3179, 0.6821, 0.7500)
Cu (0.3695, 0.6305, 0.2500)
Cu (0.4729, 0.5271, 0.2500)
Cu (0.5271, 0.4729, 0.7500)
Cu (0.6305, 0.3695, 0.7500)
Cu (0.6821, 0.3179, 0.2500)

Size of the total moment, μB per formula unit: 0.000
Raw total energy, eV/atom: -3.86
Crystal system: orthorhombic
DFT formation energy, meV per atom: -64

=====

# LiNdCu

An optimized crystal structure of LiNdCu (PBE, Alexandria via LeMat-Bulk).

Cell lengths 4.0353, 7.4468, 7.4468 Å; angles 119.75, 90.00, 90.00 degrees
Fractional coordinates of all 9 atoms:
Li (0.0000, 0.0000, 0.0000)
Li (0.0000, 0.5380, 0.7689)
Li (0.0000, 0.7689, 0.5380)
Nd (0.5000, 0.1832, 0.7689)
Nd (0.5000, 0.3543, 0.3543)
Nd (0.5000, 0.7689, 0.1832)
Cu (0.0000, 0.1020, 0.4358)
Cu (0.0000, 0.4358, 0.1020)
Cu (0.5000, 0.7688, 0.7688)

Size of the total moment, μB per formula unit: 0.000
Raw total energy, eV/atom: -3.67
Crystal system: orthorhombic
DFT formation energy, meV per atom: -79

=====

# Li4NdCu2

An optimized crystal structure of Li4NdCu2 (PBE, Alexandria via LeMat-Bulk).

Cell lengths 8.7513, 8.7513, 3.9477 Å; angles 90.00, 90.00, 153.94 degrees
Fractional coordinates of all 7 atoms:
Li (0.1777, 0.8223, 0.0000)
Li (0.3204, 0.6796, 0.5000)
Li (0.6796, 0.3204, 0.5000)
Li (0.8223, 0.1777, 0.0000)
Nd (0.5000, 0.5000, 0.0000)
Cu (0.0737, 0.9263, 0.5000)
Cu (0.9263, 0.0737, 0.5000)

Size of the total moment, μB per formula unit: 0.000
Raw total energy, eV/atom: -3.01
Crystal system: orthorhombic
DFT formation energy, meV per atom: -60

=====

# Li2Nd3Cu4

An optimized crystal structure of Li2Nd3Cu4 (PBE, Alexandria via LeMat-Bulk).

Cell lengths 5.8420, 5.8420, 8.5528 Å; angles 111.26, 111.26, 43.93 degrees
Fractional coordinates of all 9 atoms:
Li (0.1653, 0.1653, 0.3317)
Li (0.8347, 0.8347, 0.6683)
Nd (0.1411, 0.1411, 0.6909)
Nd (0.5000, 0.5000, 0.0000)
Nd (0.8589, 0.8589, 0.3091)
Cu (0.2280, 0.2280, 0.0599)
Cu (0.4269, 0.4269, 0.5920)
Cu (0.5731, 0.5731, 0.4080)
Cu (0.7720, 0.7720, 0.9401)

Size of the total moment, μB per formula unit: 0.000
Raw total energy, eV/atom: -3.92
Crystal system: monoclinic
DFT formation energy, meV per atom: -89

=====

# LiNdCu5

An optimized crystal structure of LiNdCu5 (PBE, Alexandria via LeMat-Bulk).

Cell lengths 8.1677, 5.1611, 10.3234 Å; angles 90.00, 90.00, 90.00 degrees
Fractional coordinates of all 28 atoms:
Li (0.1397, 0.2500, 0.1389)
Li (0.3603, 0.7500, 0.6389)
Li (0.6397, 0.2500, 0.3611)
Li (0.8603, 0.7500, 0.8611)
Nd (0.2440, 0.7500, 0.9366)
Nd (0.2560, 0.2500, 0.4366)
Nd (0.7440, 0.7500, 0.5634)
Nd (0.7560, 0.2500, 0.0634)
Cu (0.0631, 0.2500, 0.8959)
Cu (0.0690, 0.5037, 0.6873)
Cu (0.0690, 0.9963, 0.6873)
Cu (0.0943, 0.7500, 0.4828)
Cu (0.1808, 0.7500, 0.2490)
Cu (0.3192, 0.2500, 0.7490)
Cu (0.4057, 0.2500, 0.9828)
Cu (0.4310, 0.0037, 0.1873)
Cu (0.4310, 0.4963, 0.1873)
Cu (0.4369, 0.7500, 0.3959)
Cu (0.5631, 0.2500, 0.6041)
Cu (0.5690, 0.5037, 0.8127)
Cu (0.5690, 0.9963, 0.8127)
Cu (0.5943, 0.7500, 0.0172)
Cu (0.6808, 0.7500, 0.2510)
Cu (0.8192, 0.2500, 0.7510)
Cu (0.9057, 0.2500, 0.5172)
Cu (0.9310, 0.0037, 0.3127)
Cu (0.9310, 0.4963, 0.3127)
Cu (0.9369, 0.7500, 0.1041)

Size of the total moment, μB per formula unit: 0.000
Raw total energy, eV/atom: -4.03
Crystal system: orthorhombic
DFT formation energy, meV per atom: -145

=====

# LiNd2Cu16

An optimized crystal structure of LiNd2Cu16 (PBE, Alexandria via LeMat-Bulk).

Cell lengths 6.5279, 6.5279, 6.5279 Å; angles 82.70, 82.70, 82.70 degrees
Fractional coordinates of all 19 atoms:
Li (0.0000, 0.0000, 0.0000)
Nd (0.4313, 0.4313, 0.4313)
Nd (0.7440, 0.7440, 0.7440)
Cu (0.0933, 0.0933, 0.5912)
Cu (0.0927, 0.3885, 0.7979)
Cu (0.0933, 0.5912, 0.0933)
Cu (0.0927, 0.7979, 0.3885)
Cu (0.1906, 0.1906, 0.1906)
Cu (0.2484, 0.7476, 0.7476)
Cu (0.3885, 0.0927, 0.7979)
Cu (0.3885, 0.7979, 0.0927)
Cu (0.4343, 0.4343, 0.9379)
Cu (0.4343, 0.9379, 0.4343)
Cu (0.5912, 0.0933, 0.0933)
Cu (0.7476, 0.2484, 0.7476)
Cu (0.7476, 0.7476, 0.2484)
Cu (0.7979, 0.0927, 0.3885)
Cu (0.7979, 0.3885, 0.0927)
Cu (0.9379, 0.4343, 0.4343)

Size of the total moment, μB per formula unit: 0.000
Raw total energy, eV/atom: -4.17
Crystal system: trigonal
DFT formation energy, meV per atom: -117

=====

# LiNd6Cu5

An optimized crystal structure of LiNd6Cu5 (PBE, Alexandria via LeMat-Bulk).

Cell lengths 5.1138, 7.2151, 8.1087 Å; angles 90.00, 108.20, 90.00 degrees
Fractional coordinates of all 12 atoms:
Li (0.0000, 0.0000, 0.0000)
Nd (0.1718, 0.2530, 0.3424)
Nd (0.1718, 0.7470, 0.3424)
Nd (0.5000, 0.2617, 0.0000)
Nd (0.5000, 0.7383, 0.0000)
Nd (0.8282, 0.2530, 0.6576)
Nd (0.8282, 0.7470, 0.6576)
Cu (0.0000, 0.5000, 0.0000)
Cu (0.3320, 0.5000, 0.6668)
Cu (0.3435, 0.0000, 0.6915)
Cu (0.6565, 0.0000, 0.3085)
Cu (0.6680, 0.5000, 0.3332)

Size of the total moment, μB per formula unit: 0.000
Raw total energy, eV/atom: -4.35
Crystal system: monoclinic
DFT formation energy, meV per atom: -99

=====

# LiNd4Cu2

An optimized crystal structure of LiNd4Cu2 (PBE, Alexandria via LeMat-Bulk).

Cell lengths 8.9275, 8.9275, 8.9275 Å; angles 33.08, 33.08, 33.08 degrees
Fractional coordinates of all 7 atoms:
Li (0.0000, 0.0000, 0.0000)
Nd (0.2113, 0.2113, 0.2113)
Nd (0.3776, 0.3776, 0.3776)
Nd (0.6224, 0.6224, 0.6224)
Nd (0.7887, 0.7887, 0.7887)
Cu (0.0944, 0.0944, 0.0944)
Cu (0.9056, 0.9056, 0.9056)

Size of the total moment, μB per formula unit: 0.000
Raw total energy, eV/atom: -4.10
Crystal system: trigonal
DFT formation energy, meV per atom: 65

=====

# Li2Nd2Cu15

An optimized crystal structure of Li2Nd2Cu15 (PBE, Alexandria via LeMat-Bulk).

Cell lengths 6.5437, 6.5437, 6.5437 Å; angles 82.72, 82.72, 82.72 degrees
Fractional coordinates of all 19 atoms:
Li (0.0930, 0.0930, 0.0930)
Li (0.9070, 0.9070, 0.9070)
Nd (0.3451, 0.3451, 0.3451)
Nd (0.6549, 0.6549, 0.6549)
Cu (0.0000, 0.0000, 0.5000)
Cu (0.0000, 0.2994, 0.7006)
Cu (0.0000, 0.5000, 0.0000)
Cu (0.0000, 0.7006, 0.2994)
Cu (0.1573, 0.6574, 0.6574)
Cu (0.2994, 0.0000, 0.7006)
Cu (0.2994, 0.7006, 0.0000)
Cu (0.3426, 0.3426, 0.8427)
Cu (0.3426, 0.8427, 0.3426)
Cu (0.5000, 0.0000, 0.0000)
Cu (0.6574, 0.1573, 0.6574)
Cu (0.6574, 0.6574, 0.1573)
Cu (0.7006, 0.0000, 0.2994)
Cu (0.7006, 0.2994, 0.0000)
Cu (0.8427, 0.3426, 0.3426)

Size of the total moment, μB per formula unit: 0.000
Raw total energy, eV/atom: -4.06
Crystal system: trigonal
DFT formation energy, meV per atom: -126

=====

# Li3NdCu8

An optimized crystal structure of Li3NdCu8 (PBE, Alexandria via LeMat-Bulk).

Cell lengths 8.6685, 8.6685, 8.6685 Å; angles 33.74, 33.74, 33.74 degrees
Fractional coordinates of all 12 atoms:
Li (0.0000, 0.0000, 0.0000)
Li (0.1126, 0.1126, 0.1126)
Li (0.6338, 0.6338, 0.6338)
Nd (0.5023, 0.5023, 0.5023)
Cu (0.0592, 0.5643, 0.5643)
Cu (0.0680, 0.0680, 0.5699)
Cu (0.0680, 0.5699, 0.0680)
Cu (0.3157, 0.3157, 0.3157)
Cu (0.5643, 0.0592, 0.5643)
Cu (0.5643, 0.5643, 0.0592)
Cu (0.5699, 0.0680, 0.0680)
Cu (0.8137, 0.8137, 0.8137)

Size of the total moment, μB per formula unit: 0.000
Raw total energy, eV/atom: -3.70
Crystal system: trigonal
DFT formation energy, meV per atom: -98